The following is a PBE calculation of a geometry-optimized Pm2PrO4 structure, from the Alexandria database.

total DFT energy (no corrections) = -7.893 eV per atom
magnetic moment = 0.0 μB per formula unit
uncorrected formation energy = -3.02 eV/atom

```
Pm2PrO4
1.0
6.437 0.120 -0.208
-2.032 6.109 0.208
-2.374 -2.994 5.186
Pr O Pm
2 8 4
direct
0.750 0.500 0.250
0.000 0.000 0.000
0.263 0.257 0.875
0.487 0.112 0.244
0.132 0.888 0.375
0.625 0.757 0.513
0.756 0.243 0.868
0.125 0.388 0.382
0.618 0.743 0.006
0.994 0.612 0.737
0.375 0.906 0.781
0.219 0.594 0.125
0.531 0.406 0.625
0.875 0.094 0.469
```